DFT (PBE) results for a relaxed structure of LiNd4In4.

Properties
Its crystal system is tetragonal. Its symmetry is P4_2/n. For the density of states at the Fermi level, the calculation gives 9.43 states/eV/f.u. The value obtained for the uncorrected energy is -35.215 eV/f.u.

a = 8.9388 Å, b = 8.9388 Å, c = 6.2954 Å
α = 90.00°, β = 90.00°, γ = 90.00°
Last column: nearest neighbours and their distance in Å.
Fractional coordinates of all 18 atoms:
Li  0.2500  0.2500  0.2500  4 In 2.90, 4 Nd 3.03
Li  0.7500  0.7500  0.7500  4 In 2.90, 4 Nd 3.03
Nd  0.0661  0.8180  0.6071  1 Li 3.03, 4 In 3.22-3.39
Nd  0.1820  0.5661  0.1071  1 Li 3.03, 4 In 3.22-3.39
Nd  0.3180  0.9339  0.1071  1 Li 3.03, 4 In 3.22-3.39
Nd  0.4339  0.6820  0.6071  1 Li 3.03, 4 In 3.22-3.39
Nd  0.5661  0.3180  0.3929  1 Li 3.03, 4 In 3.22-3.39
Nd  0.6820  0.0661  0.8929  1 Li 3.03, 4 In 3.22-3.39
Nd  0.8180  0.4339  0.8929  1 Li 3.03, 4 In 3.22-3.39
Nd  0.9339  0.1820  0.3929  1 Li 3.03, 4 In 3.22-3.39
In  0.0614  0.1688  0.8933  1 Li 2.90, 2 In 3.16, 1 Nd 3.22
In  0.1688  0.4386  0.6067  1 Li 2.90, 2 In 3.16, 1 Nd 3.22
In  0.3312  0.0614  0.6067  1 Li 2.90, 2 In 3.16, 1 Nd 3.22
In  0.4386  0.3312  0.8933  1 Li 2.90, 2 In 3.16, 1 Nd 3.22
In  0.5614  0.6688  0.1067  1 Li 2.90, 2 In 3.16, 1 Nd 3.22
In  0.6688  0.9386  0.3933  1 Li 2.90, 2 In 3.16, 1 Nd 3.22
In  0.8312  0.5614  0.3933  1 Li 2.90, 2 In 3.16, 1 Nd 3.22
In  0.9386  0.8312  0.1067  1 Li 2.90, 2 In 3.16, 1 Nd 3.22



DFT (PBE) results for a relaxed structure of TaAgSb.

Properties
The uncorrected formation energy comes out at 16.30 kcal/mol of atoms. Its crystal system is cubic. Its symmetry is F-43m. For the density of states at the Fermi level, the calculation gives 3.28 states/eV/f.u. The value obtained for the uncorrected energy is -16.706 eV/f.u.

a = 6.4961 Å, b = 6.4961 Å, c = 6.4961 Å
α = 90.00°, β = 90.00°, γ = 90.00°
Last column: nearest neighbours and their distance in Å.
Fractional coordinates of all 12 atoms:
Ta  0.0000  0.0000  0.0000  4 Sb 2.81
Ta  0.0000  0.5000  0.5000  4 Sb 2.81
Ta  0.5000  0.0000  0.5000  4 Sb 2.81
Ta  0.5000  0.5000  0.0000  4 Sb 2.81
Ag  0.0000  0.0000  0.5000  4 Sb 2.81
Ag  0.0000  0.5000  0.0000  4 Sb 2.81
Ag  0.5000  0.0000  0.0000  4 Sb 2.81
Ag  0.5000  0.5000  0.5000  4 Sb 2.81
Sb  0.2500  0.2500  0.2500  4 Ta 2.81, 4 Ag 2.81
Sb  0.2500  0.7500  0.7500  4 Ta 2.81, 4 Ag 2.81
Sb  0.7500  0.2500  0.7500  4 Ta 2.81, 4 Ag 2.81
Sb  0.7500  0.7500  0.2500  4 Ta 2.81, 4 Ag 2.81



DFT (PBE) results for a relaxed structure of Nb2SBr8.

Properties
The uncorrected formation energy comes out at -10.55 kcal/mol of atoms. Its crystal system is monoclinic. Its symmetry is C2/m. The value obtained for the uncorrected energy is -42.684 eV/f.u.

a = 7.8222 Å, b = 7.8222 Å, c = 7.3877 Å
α = 106.92°, β = 106.92°, γ = 83.92°
Last column: nearest neighbours and their distance in Å.
Fractional coordinates of all 11 atoms:
Nb  0.0938  0.0938  0.4195  6 Br 2.55-2.81, 1 S 2.85
Nb  0.9062  0.9062  0.5805  6 Br 2.55-2.81, 1 S 2.85
S  0.0000  0.0000  0.0000  2 Br 2.43
Br  0.0611  0.7411  0.2922  2 Nb 2.66-2.69
Br  0.2262  0.2262  0.1721  1 S 2.43
Br  0.2589  0.9389  0.7078  2 Nb 2.66-2.69
Br  0.3263  0.3263  0.6392  1 Nb 2.55
Br  0.6737  0.6737  0.3608  1 Nb 2.55
Br  0.7411  0.0611  0.2922  2 Nb 2.66-2.69
Br  0.7738  0.7738  0.8279  1 S 2.43
Br  0.9389  0.2589  0.7078  2 Nb 2.66-2.69



DFT (PBE) results for a relaxed structure of CrFe2Se.

Properties
The uncorrected formation energy comes out at 16.76 kcal/mol of atoms. Its crystal system is tetragonal. Its symmetry is I-42d. For the density of states at the Fermi level, the calculation gives 3.87 states/eV/f.u. The value obtained for the uncorrected energy is -27.127 eV/f.u.

a = 5.0559 Å, b = 5.0559 Å, c = 10.3780 Å
α = 90.00°, β = 90.00°, γ = 90.00°
Last column: nearest neighbours and their distance in Å.
Fractional coordinates of all 16 atoms:
Cr  0.0000  0.0000  0.0000  4 Fe 2.15
Cr  0.0000  0.5000  0.2500  4 Fe 2.15
Cr  0.5000  0.0000  0.7500  4 Fe 2.15
Cr  0.5000  0.5000  0.5000  4 Fe 2.15
Fe  0.2291  0.2500  0.1250  2 Cr 2.15, 2 Se 2.27
Fe  0.2500  0.7291  0.3750  2 Cr 2.15, 2 Se 2.27
Fe  0.2500  0.7709  0.8750  2 Cr 2.15, 2 Se 2.27
Fe  0.2709  0.2500  0.6250  2 Cr 2.15, 2 Se 2.27
Fe  0.7291  0.7500  0.6250  2 Cr 2.15, 2 Se 2.27
Fe  0.7500  0.2291  0.8750  2 Cr 2.15, 2 Se 2.27
Fe  0.7500  0.2709  0.3750  2 Cr 2.15, 2 Se 2.27
Fe  0.7709  0.7500  0.1250  2 Cr 2.15, 2 Se 2.27
Se  0.0000  0.0000  0.5000  4 Fe 2.27
Se  0.0000  0.5000  0.7500  4 Fe 2.27
Se  0.5000  0.0000  0.2500  4 Fe 2.27
Se  0.5000  0.5000  0.0000  4 Fe 2.27



DFT (PBE) results for a relaxed structure of SiRuPt2.

Properties
The uncorrected formation energy comes out at -3.53 kcal/mol of atoms. Its crystal system is tetragonal. Its symmetry is I-4m2. For the density of states at the Fermi level, the calculation gives 5.06 states/eV/f.u. The value obtained for the uncorrected energy is -27.392 eV/f.u.

a = 3.9764 Å, b = 3.9764 Å, c = 7.3377 Å
α = 90.00°, β = 90.00°, γ = 90.00°
Last column: nearest neighbours and their distance in Å.
Fractional coordinates of all 8 atoms:
Si  0.0000  0.0000  0.0000  4 Ru 2.71, 8 Pt 2.71-2.81
Si  0.5000  0.5000  0.5000  4 Ru 2.71, 8 Pt 2.71-2.81
Ru  0.0000  0.5000  0.2500  8 Pt 2.71-2.81, 4 Si 2.71
Ru  0.5000  0.0000  0.7500  8 Pt 2.71-2.81, 4 Si 2.71
Pt  0.0000  0.0000  0.5000  4 Pt 2.71, 4 Ru 2.71, 4 Si 2.81
Pt  0.0000  0.5000  0.7500  4 Pt 2.71, 4 Si 2.71, 4 Ru 2.81
Pt  0.5000  0.0000  0.2500  4 Pt 2.71, 4 Si 2.71, 4 Ru 2.81
Pt  0.5000  0.5000  0.0000  4 Ru 2.71, 4 Pt 2.71, 4 Si 2.81



DFT (PBE) results for a relaxed structure of Tl2CrMo.

Properties
Its crystal system is tetragonal. Its symmetry is I-42d. For the density of states at the Fermi level, the calculation gives 3.27 states/eV/f.u. The value obtained for the uncorrected energy is -20.847 eV/f.u.

a = 7.7020 Å, b = 7.7020 Å, c = 5.8710 Å
α = 90.00°, β = 90.00°, γ = 90.00°
Last column: nearest neighbours and their distance in Å.
Fractional coordinates of all 16 atoms:
Tl  0.2440  0.2500  0.1250  2 Cr 2.79, 2 Mo 2.85, 2 Tl 2.94
Tl  0.2500  0.7440  0.3750  2 Cr 2.79, 2 Mo 2.85, 2 Tl 2.94
Tl  0.2500  0.7560  0.8750  2 Cr 2.79, 2 Mo 2.85, 2 Tl 2.94
Tl  0.2560  0.2500  0.6250  2 Cr 2.79, 2 Mo 2.85, 2 Tl 2.94
Tl  0.7440  0.7500  0.6250  2 Cr 2.79, 2 Mo 2.85, 2 Tl 2.94
Tl  0.7500  0.2440  0.8750  2 Cr 2.79, 2 Mo 2.85, 2 Tl 2.94
Tl  0.7500  0.2560  0.3750  2 Cr 2.79, 2 Mo 2.85, 2 Tl 2.94
Tl  0.7560  0.7500  0.1250  2 Cr 2.79, 2 Mo 2.85, 2 Tl 2.94
Cr  0.0000  0.0000  0.0000  4 Tl 2.79, 2 Mo 2.94
Cr  0.0000  0.5000  0.2500  4 Tl 2.79, 2 Mo 2.94
Cr  0.5000  0.0000  0.7500  4 Tl 2.79, 2 Mo 2.94
Cr  0.5000  0.5000  0.5000  4 Tl 2.79, 2 Mo 2.94
Mo  0.0000  0.0000  0.5000  4 Tl 2.85, 2 Cr 2.94
Mo  0.0000  0.5000  0.7500  4 Tl 2.85, 2 Cr 2.94
Mo  0.5000  0.0000  0.2500  4 Tl 2.85, 2 Cr 2.94
Mo  0.5000  0.5000  0.0000  4 Tl 2.85, 2 Cr 2.94